1.
A plane-wave DFT calculation with PBE was carried out for a geometry-optimized Ho2Er3Lu3Te structure.

Lattice parameters (Å, degrees): 9.086 9.086 3.722 90.00 90.00 120.00
Fractional positions:
Lu: 0.386 0.386 0.000
Lu: 0.000 0.614 0.000
Lu: 0.614 0.000 0.000
Ho: 0.333 0.667 0.500
Ho: 0.667 0.333 0.500
Te: 0.000 0.000 0.000
Er: 0.000 0.277 0.500
Er: 0.277 0.000 0.500
Er: 0.723 0.723 0.500

## Properties
The total magnetic moment comes out at 0.001 μB/atom. For the total energy, the calculation gives -4.673 eV per atom. As for the space group: P-62m (189).


2.
A plane-wave DFT calculation with PBE was carried out for a geometry-optimized HoErMg structure.

Lattice parameters (Å, degrees): 5.424 8.744 8.744 23.98 90.00 90.00
Fractional positions:
Er: 0.500 0.094 0.094
Er: 0.000 0.906 0.906
Ho: 0.000 0.227 0.227
Ho: 0.500 0.774 0.774
Mg: 0.000 0.565 0.565
Mg: 0.500 0.435 0.435

## Properties
The total magnetic moment comes out at 0.001 μB/atom. For the total energy, the calculation gives -3.617 eV per atom. As for the space group: Cmcm (63).